Computed, not measured: a geometry-optimized Hf3TaZn structure at the PBE-GGA level of DFT.

- ΔE_f: 1166 meV per atom
- Energy above the most stable polymorph in this dataset: 192 meV/atom
- DFT total energy: -37.16 eV/cell

Structure (POSCAR):
```
Hf3TaZn
1.0
5.089 0.000 0.000
0.000 5.089 0.000
0.000 0.000 5.089
Zn Hf Ta
1 3 1
Cartesian
2.545 2.545 2.545
0.000 2.545 0.000
0.000 0.000 2.545
2.545 0.000 0.000
0.000 0.000 0.000
```